{
  "formula": "BaCo3O4",
  "functional": "PBE+U",
  "state": "optimized geometry",
  "cell": [[2.817, -5.639, 0.000], [2.817, 5.639, 0.000], [0.000, 0.000, 3.814]],
  "species": ["Ba", "Co", "Co", "Co", "O", "O", "O", "O"],
  "fractional_positions": [[0.000, 0.000, 0.500], [0.751, 0.249, 0.000], [0.500, 0.500, 0.000], [0.249, 0.751, 0.000], [0.383, 0.130, 0.000], [0.130, 0.383, 0.000], [0.870, 0.617, 0.000], [0.617, 0.870, 0.000]],
  "vol_a3_per_atom": 15.148,
  "spacegroup": "Cmmm (65)",
  "total_magnetization_mub_per_cell": 9.0,
  "de_polymorph_mev_per_atom": 0,
  "e_tot_ev_per_atom": -5.921
}